Below is Pa5Ni after structural relaxation, with properties calculated at the PBE level.

Unit cell a=3.244 b=5.537 c=8.100 alpha=109.99 beta=90.00 gamma=90.00
Fractional positions:
Pa (0.000, 0.324, 0.648)
Pa (0.500, 0.500, 0.000)
Pa (0.000, 0.676, 0.352)
Pa (0.500, 0.854, 0.708)
Pa (0.500, 0.146, 0.292)
Ni (0.000, 0.000, 0.000)

Properties
The value obtained for the total energy is -8.943 eV/atom. For the density, the calculation gives 14745 kg/m³. For the total magnetic moment, the calculation gives 0.00 μB/cell. The calculation puts the energy relative to the elements at -0.0664 eV per atom. Its space-group type is No. 65.